No. 1
Ac6Te5Pt: relaxed, PBE.

Cell: 8.1843 8.1843 8.1312 Å, 99.77 99.77 119.65°
Last column: nearest neighbours and their distance in Å.
Atoms (fractional coordinates):
Ac 0.0756 0.3831 0.7309  1 Pt 3.07, 4 Te 3.34-3.37
Ac 0.2277 0.2277 0.2579  1 Pt 3.14, 4 Te 3.36-3.44
Ac 0.3831 0.0756 0.7309  1 Pt 3.07, 4 Te 3.34-3.37
Ac 0.6169 0.9244 0.2691  1 Pt 3.07, 4 Te 3.34-3.37
Ac 0.7723 0.7723 0.7421  1 Pt 3.14, 4 Te 3.36-3.44
Ac 0.9244 0.6169 0.2691  1 Pt 3.07, 4 Te 3.34-3.37
Te 0.1809 0.8191 0.0000  6 Ac 3.36-3.45
Te 0.3357 0.6643 0.5000  6 Ac 3.36-3.37
Te 0.5000 0.5000 0.0000  6 Ac 3.34-3.55
Te 0.6643 0.3357 0.5000  6 Ac 3.36-3.37
Te 0.8191 0.1809 0.0000  6 Ac 3.36-3.45
Pt 0.0000 0.0000 0.5000  6 Ac 3.07-3.14

Calculated values
The calculation puts the density of states at the Fermi level at 0.66 states/eV per atom. As for the total energy: -5.32 eV/atom. As for the raw formation energy: -1.45 eV per atom. The space-group type is C2/m, No. 12.

---

No. 2
Ac6Te2Pt3: relaxed, PBE.

Cell: 7.7144 7.7144 8.4548 Å, 98.78 98.78 120.13°
Last column: nearest neighbours and their distance in Å.
Atoms (fractional coordinates):
Ac 0.0693 0.4030 0.2082  3 Pt 3.04-3.07
Ac 0.2630 0.2630 0.7926  3 Pt 3.06-3.09
Ac 0.4030 0.0693 0.2082  3 Pt 3.04-3.07
Ac 0.5970 0.9307 0.7918  3 Pt 3.04-3.07
Ac 0.7370 0.7370 0.2074  3 Pt 3.06-3.09
Ac 0.9307 0.5970 0.7918  3 Pt 3.04-3.07
Te 0.1665 0.8335 0.5000  6 Ac 3.48
Te 0.8335 0.1665 0.5000  6 Ac 3.48
Pt 0.0000 0.0000 0.0000  6 Ac 3.06-3.07
Pt 0.3311 0.6689 0.0000  6 Ac 3.04-3.09
Pt 0.6689 0.3311 0.0000  6 Ac 3.04-3.09

Calculated values
The calculation puts the density of states at the Fermi level at 0.62 states/eV per atom. As for the total energy: -5.65 eV/atom. As for the raw formation energy: -1.19 eV per atom. The space-group type is C2/m, No. 12.

---

No. 3
Ac6TePt3: relaxed, PBE.

Cell: 12.8178 4.4470 13.7830 Å, 90.00 111.72 90.00°
Last column: nearest neighbours and their distance in Å.
Atoms (fractional coordinates):
Ac 0.0525 0.2500 0.3737  2 Pt 3.04
Ac 0.0954 0.7500 0.9427  3 Pt 3.00-3.06
Ac 0.2446 0.2500 0.7891  3 Pt 3.06-3.08
Ac 0.2550 0.7500 0.2516  3 Pt 3.01-3.16
Ac 0.4097 0.2500 0.5662  3 Pt 3.04-3.14
Ac 0.4475 0.2500 0.1107  4 Pt 3.08-3.34
Ac 0.5525 0.7500 0.8893  4 Pt 3.08-3.34
Ac 0.5903 0.7500 0.4338  3 Pt 3.04-3.14
Ac 0.7450 0.2500 0.7484  3 Pt 3.01-3.16
Ac 0.7554 0.7500 0.2109  3 Pt 3.06-3.08
Ac 0.9046 0.2500 0.0573  3 Pt 3.00-3.06
Ac 0.9475 0.7500 0.6263  2 Pt 3.04
Te 0.1906 0.7500 0.5734  7 Ac 3.45-3.61
Te 0.8094 0.2500 0.4266  7 Ac 3.45-3.61
Pt 0.0038 0.2500 0.7878  6 Ac 3.00-3.16
Pt 0.3371 0.7500 0.9514  6 Ac 3.06-3.18
Pt 0.4206 0.2500 0.3424  6 Ac 3.01-3.34
Pt 0.5794 0.7500 0.6576  6 Ac 3.01-3.34
Pt 0.6629 0.2500 0.0486  6 Ac 3.06-3.18
Pt 0.9962 0.7500 0.2122  6 Ac 3.00-3.16

Calculated values
The calculation puts the density of states at the Fermi level at 0.80 states/eV per atom. As for the total energy: -5.60 eV/atom. As for the raw formation energy: -1.01 eV per atom. The space-group type is P2_1/m, No. 11.

---

No. 4
Ac8TePt6: relaxed, PBE.

Cell: 11.2344 11.2344 4.6645 Å, 90.00 90.00 120.00°
Last column: nearest neighbours and their distance in Å.
Atoms (fractional coordinates):
Ac 0.0284 0.3396 0.2418  4 Pt 3.02-3.17
Ac 0.3112 0.9716 0.2418  4 Pt 3.02-3.17
Ac 0.3333 0.6667 0.7535  6 Pt 3.12-3.13
Ac 0.3396 0.3112 0.7582  4 Pt 3.02-3.17
Ac 0.6604 0.6888 0.2418  4 Pt 3.02-3.17
Ac 0.6667 0.3333 0.2465  6 Pt 3.12-3.13
Ac 0.6888 0.0284 0.7582  4 Pt 3.02-3.17
Ac 0.9716 0.6604 0.7582  4 Pt 3.02-3.17
Te 0.0000 0.0000 0.0000  6 Ac 3.84
Pt 0.1456 0.6610 0.2551  6 Ac 3.02-3.17
Pt 0.3390 0.4846 0.2551  6 Ac 3.02-3.17
Pt 0.4846 0.1456 0.7449  6 Ac 3.02-3.17
Pt 0.5154 0.8544 0.2551  6 Ac 3.02-3.17
Pt 0.6610 0.5154 0.7449  6 Ac 3.02-3.17
Pt 0.8544 0.3390 0.7449  6 Ac 3.02-3.17

Calculated values
The calculation puts the density of states at the Fermi level at 0.75 states/eV per atom. As for the total energy: -5.86 eV/atom. As for the raw formation energy: -1.05 eV per atom. The space-group type is P-3, No. 147.

---

No. 5
Ac6TlTe3Pt2: relaxed, PBE.

Cell: 10.6700 10.6700 9.7285 Å, 108.10 108.10 24.47°
Last column: nearest neighbours and their distance in Å.
Atoms (fractional coordinates):
Ac 0.0111 0.0111 0.2574  1 Pt 3.13, 2 Tl 3.33, 3 Te 3.33-3.44
Ac 0.3222 0.3222 0.4393  3 Pt 3.04-3.12
Ac 0.3317 0.3317 0.8917  2 Pt 3.15, 1 Tl 3.33, 3 Te 3.39-3.48
Ac 0.6683 0.6683 0.1083  2 Pt 3.15, 1 Tl 3.33, 3 Te 3.39-3.48
Ac 0.6778 0.6778 0.5607  3 Pt 3.04-3.12
Ac 0.9889 0.9889 0.7426  1 Pt 3.13, 2 Tl 3.33, 3 Te 3.33-3.44
Tl 0.5000 0.5000 0.0000  6 Ac 3.33
Te 0.1623 0.1623 0.8322  6 Ac 3.39-3.57
Te 0.5000 0.5000 0.5000  6 Ac 3.33-3.56
Te 0.8377 0.8377 0.1678  6 Ac 3.39-3.57
Pt 0.1686 0.1686 0.3341  6 Ac 3.04-3.15
Pt 0.8314 0.8314 0.6659  6 Ac 3.04-3.15

Calculated values
The calculation puts the density of states at the Fermi level at 0.63 states/eV per atom. As for the total energy: -5.22 eV/atom. As for the raw formation energy: -1.18 eV per atom. The space-group type is C2/m, No. 12.

---

No. 6
Ac2ThPt2: relaxed, PBE.

Cell: 7.8755 7.8755 7.8755 Å, 118.91 84.84 127.33°
Last column: nearest neighbours and their distance in Å.
Atoms (fractional coordinates):
Ac 0.1539 0.1325 0.2864  3 Pt 3.02-3.10
Ac 0.3461 0.6325 0.9786  3 Pt 3.02-3.10
Ac 0.6539 0.3675 0.0214  3 Pt 3.02-3.10
Ac 0.8461 0.8675 0.7136  3 Pt 3.02-3.10
Th 0.2500 0.7500 0.5000  4 Pt 2.92
Th 0.7500 0.2500 0.5000  4 Pt 2.92
Pt 0.1003 0.7527 0.8529  2 Th 2.92, 3 Ac 3.02-3.10
Pt 0.3997 0.2527 0.6524  2 Th 2.92, 3 Ac 3.02-3.10
Pt 0.6003 0.7473 0.3476  2 Th 2.92, 3 Ac 3.02-3.10
Pt 0.8997 0.2473 0.1471  2 Th 2.92, 3 Ac 3.02-3.10

Calculated values
The calculation puts the density of states at the Fermi level at 1.21 states/eV per atom. As for the total energy: -6.39 eV/atom. Its formation enthalpy at 0 K is -0.84 eV per atom. The space-group type is Ibam, No. 72.

---

No. 7
Ac2ThPt3: relaxed, PBE.

Cell: 14.3291 13.6616 7.4990 Å, 79.44 69.60 30.96°
Last column: nearest neighbours and their distance in Å.
Atoms (fractional coordinates):
Ac 0.0424 0.0424 0.2076  6 Pt 3.06-3.16
Ac 0.1244 0.1244 0.6256  6 Pt 3.06-3.16
Ac 0.2076 0.2076 0.0424  6 Pt 3.06-3.16
Ac 0.3744 0.3744 0.8756  6 Pt 3.06-3.16
Ac 0.6256 0.6256 0.1244  6 Pt 3.06-3.16
Ac 0.7924 0.7924 0.9576  6 Pt 3.06-3.16
Ac 0.8756 0.8756 0.3744  6 Pt 3.06-3.16
Ac 0.9576 0.9576 0.7924  6 Pt 3.06-3.16
Th 0.2914 0.2914 0.4586  6 Pt 2.95-2.96
Th 0.4586 0.4586 0.2914  6 Pt 2.95-2.96
Th 0.5414 0.5414 0.7086  6 Pt 2.95-2.96
Th 0.7086 0.7086 0.5414  6 Pt 2.95-2.96
Pt 0.0387 0.5380 0.2279  2 Th 2.95-2.96, 4 Ac 3.06-3.16
Pt 0.1422 0.6078 0.6078  2 Th 2.96, 4 Ac 3.06-3.15
Pt 0.2279 0.6954 0.0387  2 Th 2.95-2.96, 4 Ac 3.06-3.16
Pt 0.3046 0.7721 0.4620  2 Th 2.95-2.96, 4 Ac 3.06-3.16
Pt 0.3922 0.8578 0.8578  2 Th 2.96, 4 Ac 3.06-3.15
Pt 0.4620 0.9613 0.3046  2 Th 2.95-2.96, 4 Ac 3.06-3.16
Pt 0.5380 0.0387 0.6954  2 Th 2.95-2.96, 4 Ac 3.06-3.16
Pt 0.6078 0.1422 0.1422  2 Th 2.96, 4 Ac 3.06-3.15
Pt 0.6954 0.2279 0.5380  2 Th 2.95-2.96, 4 Ac 3.06-3.16
Pt 0.7721 0.3046 0.9613  2 Th 2.95-2.96, 4 Ac 3.06-3.16
Pt 0.8578 0.3922 0.3922  2 Th 2.96, 4 Ac 3.06-3.15
Pt 0.9613 0.4620 0.7721  2 Th 2.95-2.96, 4 Ac 3.06-3.16

Calculated values
The calculation puts the density of states at the Fermi level at 0.33 states/eV per atom. As for the total energy: -6.83 eV/atom. Its formation enthalpy at 0 K is -1.20 eV per atom. The space-group type is Fddd, No. 70.

---

No. 8
AcThPt: relaxed, PBE.

Cell: 5.2996 5.2996 7.0321 Å, 90.00 90.00 90.00°
Last column: nearest neighbours and their distance in Å.
Atoms (fractional coordinates):
Ac 0.2500 0.2500 0.1077  1 Pt 3.05
Ac 0.7500 0.7500 0.8923  1 Pt 3.05
Th 0.2500 0.7500 0.5000  4 Pt 2.92
Th 0.7500 0.2500 0.5000  4 Pt 2.92
Pt 0.2500 0.2500 0.6737  4 Th 2.92, 1 Ac 3.05
Pt 0.7500 0.7500 0.3263  4 Th 2.92, 1 Ac 3.05

Calculated values
The excess energy over the best structure of this formula in the dataset is 0.189 kcal/mol of atoms. The calculation puts the density of states at the Fermi level at 0.99 states/eV per atom. As for the total energy: -6.60 eV/atom. Its formation enthalpy at 0 K is -0.74 eV per atom. The space-group type is P4/nmm, No. 129.

---

No. 9
AcTh2Pt9: relaxed, PBE.

Cell: 9.5545 9.5545 9.5545 Å, 33.55 33.55 33.55°
Last column: nearest neighbours and their distance in Å.
Atoms (fractional coordinates):
Ac 0.0000 0.0000 0.0000  6 Pt 3.18
Th 0.1386 0.1386 0.1386  12 Pt 3.10-3.33
Th 0.8614 0.8614 0.8614  12 Pt 3.10-3.33
Pt 0.0809 0.5883 0.5883  7 Pt 2.72-2.84
Pt 0.3329 0.3329 0.3329  6 Pt 2.79-2.84
Pt 0.4117 0.4117 0.9191  7 Pt 2.72-2.84
Pt 0.4117 0.9191 0.4117  7 Pt 2.72-2.84
Pt 0.5000 0.5000 0.5000  6 Pt 2.72
Pt 0.5883 0.0809 0.5883  7 Pt 2.72-2.84
Pt 0.5883 0.5883 0.0809  7 Pt 2.72-2.84
Pt 0.6671 0.6671 0.6671  6 Pt 2.79-2.84
Pt 0.9191 0.4117 0.4117  7 Pt 2.72-2.84

Calculated values
The calculation puts the density of states at the Fermi level at 0.57 states/eV per atom. As for the total energy: -7.09 eV/atom. Its formation enthalpy at 0 K is -0.98 eV per atom. The space-group type is R-3m, No. 166.

---

No. 10
Ac4ThPt4: relaxed, PBE.

Cell: 7.5268 7.5268 10.6269 Å, 118.21 118.21 33.67°
Last column: nearest neighbours and their distance in Å.
Atoms (fractional coordinates):
Ac 0.1073 0.1073 0.3955  4 Pt 3.01-3.11
Ac 0.2987 0.2987 0.1916  5 Pt 3.05-3.14
Ac 0.7013 0.7013 0.8084  5 Pt 3.05-3.14
Ac 0.8927 0.8927 0.6045  4 Pt 3.01-3.11
Th 0.5000 0.5000 0.0000  6 Pt 2.98-3.00
Pt 0.0909 0.0909 0.9024  2 Th 2.98, 4 Ac 3.04-3.14
Pt 0.3020 0.3020 0.7081  1 Th 3.00, 5 Ac 3.01-3.11
Pt 0.6980 0.6980 0.2919  1 Th 3.00, 5 Ac 3.01-3.11
Pt 0.9091 0.9091 0.0976  2 Th 2.98, 4 Ac 3.04-3.14

Calculated values
The calculation puts the density of states at the Fermi level at 0.64 states/eV per atom. As for the total energy: -6.42 eV/atom. Its formation enthalpy at 0 K is -1.08 eV per atom. The space-group type is C2/m, No. 12.

---

No. 11
AcTh2Pt2: relaxed, PBE.

Cell: 4.0178 8.7980 9.1488 Å, 91.16 102.63 103.05°
Last column: nearest neighbours and their distance in Å.
Atoms (fractional coordinates):
Ac 0.1886 0.0636 0.3105  3 Pt 3.06-3.21
Ac 0.8114 0.9364 0.6895  3 Pt 3.06-3.21
Th 0.2789 0.6425 0.9185  3 Pt 2.86-2.88
Th 0.4855 0.6312 0.3425  6 Pt 2.96-3.24
Th 0.5145 0.3688 0.6575  6 Pt 2.96-3.24
Th 0.7211 0.3575 0.0815  3 Pt 2.86-2.88
Pt 0.0641 0.2555 0.8675  4 Th 2.86-2.96, 1 Ac 3.06
Pt 0.1251 0.6539 0.5965  3 Th 2.88-3.03, 1 Pt 3.04, 2 Ac 3.21
Pt 0.8749 0.3461 0.4035  3 Th 2.88-3.03, 1 Pt 3.04, 2 Ac 3.21
Pt 0.9359 0.7445 0.1325  4 Th 2.86-2.96, 1 Ac 3.06

Calculated values
The calculation puts the density of states at the Fermi level at 0.86 states/eV per atom. As for the total energy: -7.01 eV/atom. Its formation enthalpy at 0 K is -0.80 eV per atom. The space-group type is P-1, No. 2.

---

No. 12
AcTh3Pt4: relaxed, PBE.

Cell: 7.3323 8.5848 7.3049 Å, 90.00 109.75 90.00°
Last column: nearest neighbours and their distance in Å.
Atoms (fractional coordinates):
Ac 0.0000 0.1255 0.2500  6 Pt 3.08-3.10
Ac 0.0000 0.8745 0.7500  6 Pt 3.08-3.10
Th 0.0000 0.3769 0.7500  6 Pt 2.98-3.01
Th 0.0000 0.6231 0.2500  6 Pt 2.98-3.01
Th 0.5000 0.1273 0.7500  6 Pt 2.90-3.03
Th 0.5000 0.3774 0.2500  6 Pt 2.92-3.01
Th 0.5000 0.6226 0.7500  6 Pt 2.92-3.01
Th 0.5000 0.8727 0.2500  6 Pt 2.90-3.03
Pt 0.2540 0.3818 0.5068  5 Th 2.92-3.01, 1 Ac 3.08
Pt 0.2540 0.6182 0.0068  5 Th 2.92-3.01, 1 Ac 3.08
Pt 0.2648 0.1326 0.9987  4 Th 2.90-3.03, 2 Ac 3.09-3.10
Pt 0.2648 0.8674 0.4987  4 Th 2.90-3.03, 2 Ac 3.09-3.10
Pt 0.7352 0.1326 0.5013  4 Th 2.90-3.03, 2 Ac 3.09-3.10
Pt 0.7352 0.8674 0.0013  4 Th 2.90-3.03, 2 Ac 3.09-3.10
Pt 0.7460 0.3818 0.9932  5 Th 2.92-3.01, 1 Ac 3.08
Pt 0.7460 0.6182 0.4932  5 Th 2.92-3.01, 1 Ac 3.08

Calculated values
The calculation puts the density of states at the Fermi level at 0.39 states/eV per atom. As for the total energy: -7.51 eV/atom. Its formation enthalpy at 0 K is -1.20 eV per atom. The space-group type is P2/c, No. 13.